[1]
Below is LiCa2As after structural relaxation, with properties calculated at the GGA-PBE level.

Computed properties:
- ΔH_f (0 K): -2.26 eV/f.u.
- Space group: C2/m

abc: 4.3430 4.3430 8.5075
angles: 75.61 75.61 59.81
Last column: nearest neighbours and their distance in Å.
Fractional positions:
Ca 0.4760 0.4760 0.5684  3 As 2.91
Ca 0.0240 0.0240 0.9316  3 As 2.91
As 0.7500 0.7500 0.7500  6 Ca 2.91
Li 0.2500 0.2500 0.2500  6 Ca 3.59-3.62

---

[2]
Below is MnSb4Se7 after structural relaxation, with properties calculated at the GGA-PBE level.

Computed properties:
- Space group: Cm
- Raw formation energy: -279 meV/atom

abc: 4.0447 7.0091 12.7868
angles: 102.44 90.00 106.77
Last column: nearest neighbours and their distance in Å.
Fractional positions:
Sb 0.0088 0.0175 0.0216  5 Se 2.71-2.93
Sb 0.6251 0.2502 0.7364  3 Se 2.65-2.76
Sb 0.1450 0.2900 0.4446  3 Se 2.66-2.77
Sb 0.3112 0.6224 0.1512  5 Se 2.66-2.90
Se 0.9982 0.9964 0.7755  1 Mn 2.64, 2 Sb 2.76
Se 0.7639 0.5277 0.3876  1 Mn 2.60, 2 Sb 2.77
Se 0.9662 0.9324 0.2189  3 Sb 2.71-2.89
Se 0.6704 0.3408 0.0427  4 Sb 2.90-2.93
Se 0.5088 0.0176 0.5388  1 Sb 2.65, 2 Mn 2.79
Se 0.2638 0.5277 0.6418  1 Sb 2.66, 2 Mn 2.77
Se 0.3588 0.7176 0.9602  3 Sb 2.66-2.84
Mn 0.8799 0.7598 0.5806  6 Se 2.60-2.79

---

[3]
Below is SrTlTcRh2 after structural relaxation, with properties calculated at the GGA-PBE level.

Computed properties:
- ΔH_f (0 K): 3.57 eV/f.u.
- Space group: P4/mmm

abc: 4.7481 5.6209 4.7481
angles: 90.00 90.00 90.00
Last column: nearest neighbours and their distance in Å.
Fractional positions:
Sr 0.0000 0.5000 0.0000  2 Tc 2.81
Rh 0.5000 0.0000 0.0000  2 Tc 2.37
Rh 0.0000 0.0000 0.5000  2 Tc 2.37
Tc 0.0000 0.0000 0.0000  4 Rh 2.37
Tl 0.5000 0.5000 0.5000  4 Sr 3.36, 8 Rh 3.68

---

no.,raw total energy (eV/f.u.)
1,-12.82
2,-53.40
3,-25.55